# 1
Below is a geometry-optimized Na2YCrS4 structure, with properties calculated at the PBE level.

Properties
The calculation puts the total magnetic moment at 3.0 μB per cell. As for the calculated density: 3.175 g/cm3. The total DFT energy (no corrections) is -5.739 eV/atom.

Lattice parameters (Å, degrees): 6.5167 3.8019 7.0100 90.00 108.41 90.00
Fractional coordinates of all 8 atoms:
Na (0.0000, 0.0000, 0.0000)
Na (0.5000, 0.5000, 0.0000)
Y (0.0000, 0.5000, 0.5000)
Cr (0.5000, 0.0000, 0.5000)
S (0.2649, 0.0000, 0.7214)
S (0.2900, 0.5000, 0.2941)
S (0.7100, 0.5000, 0.7059)
S (0.7351, 0.0000, 0.2786)

---

# 2
Below is a geometry-optimized Na3ZnCr2S6 structure, with properties calculated at the PBE level.

Properties
The calculation puts the total magnetic moment at 5.0 μB per cell. As for the calculated density: 3.249 g/cm3. The total DFT energy (no corrections) is -4.938 eV/atom. The density of states at the Fermi level comes out at 0.65 states/eV/atom.

Lattice parameters (Å, degrees): 6.2520 6.2520 6.8345 98.81 98.81 120.02
Fractional coordinates of all 12 atoms:
Na (0.0000, 0.0000, 0.0000)
Na (0.3383, 0.6617, 0.0000)
Na (0.6617, 0.3383, 0.0000)
Zn (0.5000, 0.5000, 0.5000)
Cr (0.1673, 0.8327, 0.5000)
Cr (0.8327, 0.1673, 0.5000)
S (0.0811, 0.4326, 0.2996)
S (0.2159, 0.2159, 0.7007)
S (0.4326, 0.0811, 0.2996)
S (0.5674, 0.9189, 0.7004)
S (0.7841, 0.7841, 0.2993)
S (0.9189, 0.5674, 0.7004)

---

# 3
Below is a geometry-optimized Na4Zr3CrS8 structure, with properties calculated at the PBE level.

Properties
The calculation puts the total magnetic moment at 3.5 μB per cell. As for the calculated density: 3.508 g/cm3. The total DFT energy (no corrections) is -5.934 eV/atom. The density of states at the Fermi level comes out at 0.53 states/eV/atom.

Lattice parameters (Å, degrees): 7.9843 7.9843 7.9843 55.13 55.13 55.13
Fractional coordinates of all 16 atoms:
Na (0.0000, 0.0000, 0.0000)
Na (0.0000, 0.5000, 0.5000)
Na (0.5000, 0.0000, 0.5000)
Na (0.5000, 0.5000, 0.0000)
Zr (0.0000, 0.0000, 0.5000)
Zr (0.0000, 0.5000, 0.0000)
Zr (0.5000, 0.0000, 0.0000)
Cr (0.5000, 0.5000, 0.5000)
S (0.2420, 0.2420, 0.2420)
S (0.2474, 0.7350, 0.7350)
S (0.2650, 0.2650, 0.7526)
S (0.2650, 0.7526, 0.2650)
S (0.7350, 0.2474, 0.7350)
S (0.7350, 0.7350, 0.2474)
S (0.7526, 0.2650, 0.2650)
S (0.7580, 0.7580, 0.7580)

---

# 4
Below is a geometry-optimized Na2Zr2CrS6 structure, with properties calculated at the PBE level.

Properties
The calculation puts the total magnetic moment at 2.0 μB per cell. As for the calculated density: 3.382 g/cm3. The total DFT energy (no corrections) is -6.230 eV/atom. The density of states at the Fermi level comes out at 0.27 states/eV/atom.

Lattice parameters (Å, degrees): 6.2295 6.2295 7.2128 98.54 98.54 119.74
Fractional coordinates of all 11 atoms:
Na (0.1706, 0.8294, 0.0000)
Na (0.8294, 0.1706, 0.0000)
Zr (0.3331, 0.6669, 0.5000)
Zr (0.6669, 0.3331, 0.5000)
Cr (0.0000, 0.0000, 0.5000)
S (0.0744, 0.3892, 0.7129)
S (0.2419, 0.2419, 0.2885)
S (0.3892, 0.0744, 0.7129)
S (0.6108, 0.9256, 0.2871)
S (0.7581, 0.7581, 0.7115)
S (0.9256, 0.6108, 0.2871)

---

# 5
Below is a geometry-optimized Na3Zr3CrS8 structure, with properties calculated at the PBE level.

Properties
The calculation puts the total magnetic moment at 2.6 μB per cell. As for the calculated density: 3.419 g/cm3. The total DFT energy (no corrections) is -6.178 eV/atom. The density of states at the Fermi level comes out at 0.40 states/eV/atom.

Lattice parameters (Å, degrees): 7.2765 7.2765 8.0816 116.80 116.80 59.94
Fractional coordinates of all 15 atoms:
Na (0.0000, 0.0000, 0.0000)
Na (0.0000, 0.5000, 0.0000)
Na (0.5000, 0.0000, 0.0000)
Zr (0.0000, 0.5000, 0.5000)
Zr (0.5000, 0.0000, 0.5000)
Zr (0.5000, 0.5000, 0.5000)
Cr (0.0000, 0.0000, 0.5000)
S (0.2287, 0.2287, 0.7108)
S (0.2289, 0.7530, 0.7107)
S (0.2470, 0.7711, 0.2893)
S (0.2584, 0.2584, 0.2750)
S (0.7416, 0.7416, 0.7250)
S (0.7530, 0.2289, 0.7107)
S (0.7711, 0.2470, 0.2893)
S (0.7713, 0.7713, 0.2892)

---

# 6
Below is a geometry-optimized Na2CrSb structure, with properties calculated at the PBE level.

Properties
The calculation puts the total magnetic moment at 9.8 μB per cell. As for the calculated density: 2.411 g/cm3. The total DFT energy (no corrections) is -3.808 eV/atom. The density of states at the Fermi level comes out at 0.21 states/eV/atom.

Lattice parameters (Å, degrees): 8.0190 8.0190 8.0190 96.22 96.22 141.56
Fractional coordinates of all 8 atoms:
Na (0.3750, 0.0133, 0.1383)
Na (0.7633, 0.6250, 0.6383)
Na (0.8750, 0.2367, 0.8617)
Na (0.9867, 0.1250, 0.3617)
Cr (0.2500, 0.7500, 0.5000)
Cr (0.5000, 0.5000, 0.0000)
Sb (0.0000, 0.0000, 0.0000)
Sb (0.7500, 0.2500, 0.5000)